Density functional theory data (PBE) for a relaxed structure of RbRhSe3.

abc: 5.0675 5.0675 5.0675
angles: 90.00 90.00 90.00
Closest atoms and distances in Å follow each position.
Positions (direct):
Rh: 0.0000 0.0000 0.0000  6 Se 2.53
Se: 0.0000 0.5000 0.0000  2 Rh 2.53
Se: 0.0000 0.0000 0.5000  2 Rh 2.53
Se: 0.5000 0.0000 0.0000  2 Rh 2.53
Rb: 0.5000 0.5000 0.5000  12 Se 3.58

Properties
Crystal system: cubic
Space-group type: Pm-3m (221)
Total moment in μB per atom: 0.232
D(E_F) in states/eV per atom: 1.43
E_form (uncorrected) in meV/atom: -178



Density functional theory data (PBE) for a relaxed structure of Fe2PI.

abc: 4.3609 4.3609 4.3609
angles: 60.00 60.00 60.00
Closest atoms and distances in Å follow each position.
Positions (direct):
I: 0.5000 0.5000 0.5000  8 Fe 2.67
P: 0.0000 0.0000 0.0000  8 Fe 2.67
Fe: 0.2500 0.2500 0.2500  4 I 2.67, 4 P 2.67
Fe: 0.7500 0.7500 0.7500  4 P 2.67, 4 I 2.67

Properties
Crystal system: cubic
Space-group type: Fm-3m (225)
Total moment in μB per atom: 0.800
D(E_F) in states/eV per atom: 0.64
E_form (uncorrected) in meV/atom: 685
Energy above the most stable polymorph in this dataset in eV/atom: 0.337



Density functional theory data (PBE) for a relaxed structure of PaFe4Bi.

abc: 5.1650 5.1650 5.1650
angles: 60.00 60.00 60.00
Closest atoms and distances in Å follow each position.
Positions (direct):
Pa: 0.2500 0.2500 0.2500  12 Fe 3.02, 4 Bi 3.16
Bi: 0.0000 0.0000 0.0000  12 Fe 3.03, 4 Pa 3.16
Fe: 0.6234 0.6234 0.1299  6 Fe 2.55-2.62
Fe: 0.6234 0.1299 0.6234  6 Fe 2.55-2.62
Fe: 0.6234 0.6234 0.6234  6 Fe 2.55-2.62
Fe: 0.1299 0.6234 0.6234  6 Fe 2.55-2.62

Properties
Crystal system: cubic
Space-group type: F-43m (216)
Total moment in μB per atom: 1.346
D(E_F) in states/eV per atom: 1.21
Formation energy from the elements in kJ per mole of atoms: 10.3



Density functional theory data (PBE) for a relaxed structure of La5Ag4.

abc: 4.0829 6.3374 11.4850
angles: 76.57 79.76 71.21
Closest atoms and distances in Å follow each position.
Positions (direct):
La: 0.1088 0.1715 0.6108  7 Ag 3.23-3.35
La: 0.8912 0.8285 0.3892  7 Ag 3.23-3.35
La: 0.7562 0.6537 0.8339  4 Ag 3.18-3.32
La: 0.2438 0.3463 0.1661  4 Ag 3.18-3.32
La: 0.0000 0.0000 0.0000  4 Ag 3.07
Ag: 0.4634 0.2529 0.8204  1 Ag 2.93, 6 La 3.07-3.23
Ag: 0.5366 0.7471 0.1796  1 Ag 2.93, 6 La 3.07-3.23
Ag: 0.3884 0.6164 0.6068  2 Ag 2.93-3.01, 2 La 3.27
Ag: 0.6116 0.3836 0.3932  2 Ag 2.93-3.01, 2 La 3.27

Properties
Crystal system: monoclinic
Space-group type: C2/m (12)
Total moment in μB per atom: 0.000
D(E_F) in states/eV per atom: 1.35
Formation energy from the elements in kJ per mole of atoms: -17.3
Energy above the most stable polymorph in this dataset in eV/atom: 0.000



Density functional theory data (PBE) for a relaxed structure of Na3Cd2In2.

abc: 5.1006 3.4351 11.1482
angles: 98.86 103.22 90.00
Closest atoms and distances in Å follow each position.
Positions (direct):
Na: 0.0000 0.0000 0.0000  8 In 3.42, 2 Na 3.44, 4 Cd 3.49
Na: 0.7039 0.2039 0.4078  5 Cd 3.31-3.35, 2 In 3.35, 6 Na 3.44-3.65
Na: 0.2961 0.7961 0.5922  5 Cd 3.31-3.35, 2 In 3.35, 6 Na 3.44-3.65
Cd: 0.1416 0.6416 0.2832  2 In 2.98, 1 Na 3.31
Cd: 0.8584 0.3584 0.7168  2 In 2.98, 1 Na 3.31
In: 0.5696 0.5696 0.1392  2 Cd 2.98, 1 In 2.98
In: 0.4304 0.4304 0.8608  2 Cd 2.98, 1 In 2.98

Properties
Crystal system: orthorhombic
Space-group type: Immm (71)
Total moment in μB per atom: 0.000
D(E_F) in states/eV per atom: 0.41
Formation energy from the elements in kJ per mole of atoms: -9.7
Energy above the most stable polymorph in this dataset in eV/atom: 0.015



Density functional theory data (PBE) for a relaxed structure of Tl2HgOs.

abc: 10.6706 10.6706 10.6706
angles: 16.95 16.95 16.95
Closest atoms and distances in Å follow each position.
Positions (direct):
Hg: 0.4896 0.4896 0.4896  3 Os 2.91, 6 Hg 3.14
Os: 0.7510 0.7510 0.7510  3 Hg 2.91, 3 Tl 2.92, 6 Os 3.14
Tl: 0.0118 0.0118 0.0118  3 Os 2.92, 6 Tl 3.14
Tl: 0.2476 0.2476 0.2476  6 Tl 3.14, 3 Hg 3.40

Properties
Crystal system: trigonal
Space-group type: R3m (160)
Total moment in μB per atom: 0.012
D(E_F) in states/eV per atom: 0.63
Formation energy from the elements in kJ per mole of atoms: 71.9
Energy above the most stable polymorph in this dataset in eV/atom: 0.148